1.
Material: CsGaBiH
Method: DFT, PBE
State: optimized geometry

Electronic total energy = -12.18 eV/f.u.
N(E_F) = 0.08 states/eV per atom

abc: 4.6180 4.6180 6.7391
angles: 90.00 90.00 120.00
Space group P3m1 (No. 156)
Asymmetric unit:
Cs1 0.0000 0.0000 0.0000 (multiplicity 1)
Ga1 0.6667 0.3333 0.5977 (multiplicity 1)
Bi1 0.3333 0.6667 0.4553 (multiplicity 1)
H1 0.6667 0.3333 0.8436 (multiplicity 1)

***

2.
Material: MnFePd4
Method: DFT, PBE
State: optimized geometry

Formation energy from the elements = -0.125 eV per atom
Polymorph energy (0 for the lowest one) = 0.000 eV/f.u.
N(E_F) = 0.56 states/eV per atom

abc: 4.313 9.665 4.306
angles: 90.00 90.00 90.00
Space group Cmmm (No. 65)
Asymmetric unit:
Mn1 0.000 0.000 0.000 (multiplicity 2)
Fe1 0.000 0.500 0.500 (multiplicity 2)
Pd1 0.000 0.154 0.500 (multiplicity 4)
Pd2 0.000 0.346 0.000 (multiplicity 4)

***

3.
Material: ScAgHPt2
Method: DFT, PBE
State: optimized geometry

Electronic total energy = -27.16 eV/f.u.
N(E_F) = 0.18 states/eV per atom

abc: 4.081 4.081 4.190
angles: 90.00 90.00 90.00
Space group P4/mmm (No. 123)
Asymmetric unit:
Sc1 0.000 0.000 0.000 (multiplicity 1)
Ag1 0.500 0.500 0.000 (multiplicity 1)
H1 0.000 0.000 0.500 (multiplicity 1)
Pt1 0.000 0.500 0.500 (multiplicity 2)

***

4.
Material: CsGaBi
Method: DFT, PBE
State: optimized geometry

Formation energy from the elements = -0.181 eV per atom
N(E_F) = 0.40 states/eV per atom

abc: 5.0222 5.0222 6.0467
angles: 90.00 90.00 120.00
Space group P3m1 (No. 156)
Asymmetric unit:
Cs1 0.0000 0.0000 0.0000 (multiplicity 1)
Ga1 0.3333 0.6667 0.5009 (multiplicity 1)
Bi1 0.6667 0.3333 0.4998 (multiplicity 1)

***

5.
Material: KCuNO2
Method: DFT, PBE
State: optimized geometry

Formation energy without anion corrections = 319.6 meV per atom
N(E_F) = 0.59 states/eV per atom

abc: 4.017 4.017 3.901
angles: 90.00 90.00 90.00
Space group P4/mmm (No. 123)
Asymmetric unit:
K1 0.000 0.000 0.000 (multiplicity 1)
Cu1 0.500 0.500 0.500 (multiplicity 1)
N1 0.500 0.500 0.000 (multiplicity 1)
O1 0.000 0.500 0.500 (multiplicity 2)

***

6.
Material: NaNiPS2
Method: DFT, PBE
State: optimized geometry

Polymorph energy (0 for the lowest one) = 0.000 eV/f.u.
Formation energy without anion corrections = 41.4 meV per atom
N(E_F) = 0.67 states/eV per atom

abc: 4.801 4.801 4.150
angles: 90.00 90.00 90.00
Space group P4/mmm (No. 123)
Asymmetric unit:
Na1 0.000 0.000 0.000 (multiplicity 1)
Ni1 0.500 0.500 0.500 (multiplicity 1)
P1 0.500 0.500 0.000 (multiplicity 1)
S1 0.000 0.500 0.500 (multiplicity 2)

***

7.
Material: Hf2ThZn
Method: DFT, PBE
State: optimized geometry

Formation energy from the elements = 0.306 eV per atom
Polymorph energy (0 for the lowest one) = 1.215 eV/f.u.
N(E_F) = 1.17 states/eV per atom

abc: 3.1956 3.1956 32.0066
angles: 90.00 90.00 120.00
Space group R-3m (No. 166, hexagonal axes)
Asymmetric unit:
Hf1 0.0000 0.0000 0.0983 (multiplicity 6)
Th1 0.0000 0.0000 0.0000 (multiplicity 3)
Zn1 0.0000 0.0000 0.5000 (multiplicity 3)

***

8.
Material: ScTePb
Method: DFT, PBE
State: optimized geometry

Formation energy without anion corrections = -269.1 meV per atom
N(E_F) = 1.32 states/eV per atom

abc: 7.149 7.149 7.149
angles: 90.00 90.00 90.00
Space group F-43m (No. 216)
Asymmetric unit:
Sc1 0.000 0.000 0.000 (multiplicity 4)
Te1 0.250 0.250 0.250 (multiplicity 4)
Pb1 0.250 0.250 0.750 (multiplicity 4)